First-principles (PBE) data for a relaxed CrCuBi2Se crystal, as listed in Alexandria.

Values from the calculation:
The value obtained for the spin magnetization is 4.38 μB/f.u. The value obtained for the formation energy without anion corrections is 628 meV per atom. The space-group type is P4/mmm, No. 123.

a = 5.163 Å, b = 4.893 Å, c = 5.163 Å
α = 90.00°, β = 90.00°, γ = 90.00°
Each line ends with the local moment (μB).
Fractional coordinates of all 5 atoms:
Bi (0.000, 0.000, 0.500)  -0.10
Se (0.500, 0.500, 0.500)  -0.02
Bi (0.500, 0.000, 0.000)  -0.06
Cu (0.000, 0.000, 0.000)  0.07
Cr (0.000, 0.500, 0.000)  3.95